1.
{"formula": "CsLiSb2Se4", "functional": "PBE-GGA", "state": "relaxed", "formation_energy_uncorrected_ev_per_atom": -0.64, "space_group": "Cmcm", "lattice": [[-0.6657, 1.7011, 3.8374], [2.4709, -7.0681, 1.2085], [14.1749, 4.9970, 0.2439]], "species": ["Se", "Li", "Sb", "Se", "Se", "Se", "Se", "Se", "Cs", "Cs", "Sb", "Se", "Sb", "Sb", "Li", "Se"], "fractional_positions": [[0.7414, 0.4828, 0.8981], [0.1710, 0.3420, 0.2500], [0.6332, 0.2664, 0.0613], [0.4131, 0.8263, 0.7500], [0.7414, 0.4828, 0.6019], [0.0000, 0.0000, 0.0000], [0.0000, 0.0000, 0.5000], [0.2586, 0.5172, 0.1019], [0.1042, 0.2083, 0.7500], [0.8958, 0.7917, 0.2500], [0.3668, 0.7336, 0.9387], [0.2586, 0.5172, 0.3981], [0.3668, 0.7336, 0.5613], [0.6332, 0.2664, 0.4387], [0.8290, 0.6580, 0.7500], [0.5869, 0.1737, 0.2500]]}

---

2.
{"formula": "Pu5Bi3Pd", "functional": "PBE-GGA", "state": "relaxed", "formation_enthalpy_0k_ev_per_atom": -0.39, "space_group": "P6_3/mcm", "lattice": [[6.3208, 0.0000, 0.0000], [0.0000, 8.2998, -4.7919], [0.0000, 0.0000, 9.5838]], "species": ["Bi", "Pu", "Pd", "Pu", "Bi", "Pu", "Pu", "Bi", "Pu", "Pu", "Pu", "Pu", "Pd", "Bi", "Pu", "Pu", "Bi", "Bi"], "fractional_positions": [[0.7500, 0.6137, 0.6137], [0.0000, 0.3333, 0.6667], [0.0000, 0.0000, 0.0000], [0.5000, 0.6667, 0.3333], [0.2500, 0.0000, 0.6137], [0.2500, 0.0000, 0.2600], [0.7500, 0.2600, 0.2600], [0.7500, 0.0000, 0.3863], [0.7500, 0.0000, 0.7400], [0.0000, 0.6667, 0.3333], [0.5000, 0.3333, 0.6667], [0.7500, 0.7400, 0.0000], [0.5000, 0.0000, 0.0000], [0.2500, 0.6137, 0.0000], [0.2500, 0.2600, 0.0000], [0.2500, 0.7400, 0.7400], [0.2500, 0.3863, 0.3863], [0.7500, 0.3863, 0.0000]]}

---

3.
{"formula": "AcTbPm6Er2", "functional": "PBE-GGA", "state": "relaxed", "formation_enthalpy_0k_ev_per_atom": 0.12, "space_group": "C2/c", "lattice": [[-7.8040, -4.6218, -3.4476], [4.3672, -7.6839, 1.7151], [-4.6142, 3.6952, 6.7905]], "species": ["Pm", "Pm", "Er", "Pm", "Pm", "Tb", "Ac", "Ac", "Pm", "Pm", "Pm", "Pm", "Er", "Pm", "Er", "Tb", "Pm", "Pm", "Er", "Pm"], "fractional_positions": [[0.6814, 0.0082, 0.5521], [0.5548, 0.7542, 0.1199], [0.4513, 0.7949, 0.6879], [0.1179, 0.7086, 0.4866], [0.3821, 0.5134, 0.2914], [0.2500, 0.4117, 0.5883], [0.7500, 0.0308, 0.9692], [0.2500, 0.9692, 0.0308], [0.8186, 0.4479, 0.9918], [0.8821, 0.2914, 0.5134], [0.1814, 0.5521, 0.0082], [0.0548, 0.1199, 0.7542], [0.9513, 0.6879, 0.7949], [0.3186, 0.9918, 0.4479], [0.0487, 0.3121, 0.2051], [0.7500, 0.5883, 0.4117], [0.4452, 0.2458, 0.8801], [0.9452, 0.8801, 0.2458], [0.5487, 0.2051, 0.3121], [0.6179, 0.4866, 0.7086]]}

---

4.
{"formula": "CdIn2Ga4", "functional": "PBE-GGA", "state": "relaxed", "formation_enthalpy_0k_ev_per_atom": 0.06, "space_group": "C2/c", "lattice": [[-3.7917, 2.8197, 4.0789], [-2.8213, -4.8086, 0.7015], [9.0639, -1.4241, 4.1862]], "species": ["Ga", "Ga", "In", "Ga", "In", "Ga", "In", "Cd", "Ga", "Ga", "Cd", "Ga", "In", "Ga"], "fractional_positions": [[0.5412, 0.0795, 0.2977], [0.7317, 0.6498, 0.8621], [0.7358, 0.6056, 0.3826], [0.4588, 0.9205, 0.7023], [0.2358, 0.7770, 0.3826], [0.9588, 0.7817, 0.7023], [0.2642, 0.3944, 0.6174], [0.2500, 0.7696, 0.0000], [0.2317, 0.2123, 0.8621], [0.7683, 0.7877, 0.1379], [0.7500, 0.2304, 0.0000], [0.0412, 0.2183, 0.2977], [0.7642, 0.2230, 0.6174], [0.2683, 0.3502, 0.1379]]}

---

Energy / eV per cell: -60.217 -183.925 -90.308 -36.101